[1]
# Ba2NiP

A PBEsol-optimized structure of Ba2NiP (meta-GGA SCAN, Alexandria). Values from VASP.

Cell and atoms, written as Quantum ESPRESSO input:
```
&SYSTEM
  ibrav = 0, nat = 8, ntyp = 3
/
ATOMIC_SPECIES
Ba 137.33 Ba.upf
Ni 58.69 Ni.upf
P 30.97 P.upf
CELL_PARAMETERS angstrom
4.1995 0.0000 0.0000
0.0000 4.9909 0.0000
0.0000 0.0000 10.2300
ATOMIC_POSITIONS crystal
Ba 0.0000 0.0000 0.0000
Ba 0.0000 0.5000 0.5000
Ba 0.5000 0.0000 0.3120
Ba 0.5000 0.5000 0.8120
Ni 0.0000 0.0000 0.6829
Ni 0.0000 0.5000 0.1829
P 0.5000 0.0000 0.6255
P 0.5000 0.5000 0.1255
```

Calculated values
**DFT total energy**: -27.018 eV per atom
**Space group**: Amm2, No. 38
**ΔE_f**: -600 meV/atom
**V**: 26.80 A^3/atom

---

[2]
# Li2CaPb2

A PBEsol-optimized structure of Li2CaPb2 (meta-GGA SCAN, Alexandria). Values from VASP.

Cell and atoms, written as Quantum ESPRESSO input:
```
&SYSTEM
  ibrav = 0, nat = 10, ntyp = 3
/
ATOMIC_SPECIES
Li 6.94 Li.upf
Ca 40.08 Ca.upf
Pb 207.20 Pb.upf
CELL_PARAMETERS angstrom
4.3475 0.0000 0.0000
0.0000 4.3475 0.0000
0.0000 0.0000 13.0785
ATOMIC_POSITIONS crystal
Li 0.0000 0.5000 0.2500
Li 0.0000 0.5000 0.7500
Li 0.5000 0.0000 0.2500
Li 0.5000 0.0000 0.7500
Ca 0.0000 0.0000 0.0000
Ca 0.5000 0.5000 0.5000
Pb 0.0000 0.0000 0.3877
Pb 0.0000 0.0000 0.6123
Pb 0.5000 0.5000 0.1123
Pb 0.5000 0.5000 0.8877
```

Calculated values
**DFT total energy**: -33.713 eV per atom
**Relative energy among the computed polymorphs**: 8 meV/atom
**Space group**: I4/mmm, No. 139
**ΔE_f**: -512 meV/atom
**V**: 24.72 A^3/atom

---

[3]
# FeBiAs2Br

A PBEsol-optimized structure of FeBiAs2Br (meta-GGA SCAN, Alexandria). Values from VASP.

Cell and atoms, written as Quantum ESPRESSO input:
```
&SYSTEM
  ibrav = 0, nat = 5, ntyp = 4
/
ATOMIC_SPECIES
Fe 55.84 Fe.upf
Bi 208.98 Bi.upf
As 74.92 As.upf
Br 79.90 Br.upf
CELL_PARAMETERS angstrom
4.5166 0.0000 0.0000
0.0000 4.5166 0.0000
0.0000 0.0000 5.1011
ATOMIC_POSITIONS crystal
Fe 0.0000 0.0000 0.0000
Bi 0.5000 0.5000 0.5000
As 0.0000 0.5000 0.0000
As 0.5000 0.0000 0.0000
Br 0.0000 0.0000 0.5000
```

Calculated values
**DFT total energy**: -30.840 eV per atom
**Space group**: P4/mmm, No. 123
**Energy relative to the elements, uncorrected**: 226.9 kJ/mol of formula units
**V**: 20.81 A^3/atom

---

[4]
# ZnRe2Br

A PBEsol-optimized structure of ZnRe2Br (meta-GGA SCAN, Alexandria). Values from VASP.

Cell and atoms, written as Quantum ESPRESSO input:
```
&SYSTEM
  ibrav = 0, nat = 8, ntyp = 3
/
ATOMIC_SPECIES
Zn 65.41 Zn.upf
Re 186.21 Re.upf
Br 79.90 Br.upf
CELL_PARAMETERS angstrom
9.0547 0.0000 0.0000
0.0000 2.8247 0.0000
-1.0182 0.0000 4.7743
ATOMIC_POSITIONS crystal
Zn 0.0000 0.0000 0.0000
Zn 0.5000 0.5000 0.0000
Re 0.2398 0.5000 0.2391
Re 0.2602 0.0000 0.7609
Re 0.7398 0.0000 0.2391
Re 0.7602 0.5000 0.7609
Br 0.0000 0.5000 0.5000
Br 0.5000 0.0000 0.5000
```

Calculated values
**DFT total energy**: -42.777 eV per atom
**Relative energy among the computed polymorphs**: 600 meV/atom
**Space group**: C2/m, No. 12
**Energy relative to the elements, uncorrected**: 391.7 kJ/mol of formula units
**V**: 15.26 A^3/atom

---

[5]
# CdSi2Rh

A PBEsol-optimized structure of CdSi2Rh (meta-GGA SCAN, Alexandria). Values from VASP.

Cell and atoms, written as Quantum ESPRESSO input:
```
&SYSTEM
  ibrav = 0, nat = 4, ntyp = 3
/
ATOMIC_SPECIES
Cd 112.41 Cd.upf
Si 28.09 Si.upf
Rh 102.91 Rh.upf
CELL_PARAMETERS angstrom
4.0013 0.0000 0.0000
0.0000 4.0013 0.0000
0.0000 0.0000 3.7760
ATOMIC_POSITIONS crystal
Cd 0.0000 0.0000 0.0000
Si 0.0000 0.5000 0.5000
Si 0.5000 0.0000 0.5000
Rh 0.5000 0.5000 0.0000
```

Calculated values
**DFT total energy**: -20.801 eV per atom
**Space group**: P4/mmm, No. 123
**Energy relative to the elements, uncorrected**: 97.7 kJ/mol of formula units
**V**: 15.11 A^3/atom

---

[6]
# Ag5Pb

A PBEsol-optimized structure of Ag5Pb (meta-GGA SCAN, Alexandria). Values from VASP.

Cell and atoms, written as Quantum ESPRESSO input:
```
&SYSTEM
  ibrav = 0, nat = 12, ntyp = 2
/
ATOMIC_SPECIES
Ag 107.87 Ag.upf
Pb 207.20 Pb.upf
CELL_PARAMETERS angstrom
4.7276 0.0000 0.0000
0.0000 2.9924 0.0000
0.0000 0.0000 15.6245
ATOMIC_POSITIONS crystal
Ag 0.0000 0.0000 0.0000
Ag 0.0000 0.0000 0.3138
Ag 0.0000 0.0000 0.6573
Ag 0.0000 0.5000 0.1573
Ag 0.0000 0.5000 0.5000
Ag 0.0000 0.5000 0.8138
Ag 0.5000 0.0000 0.2073
Ag 0.5000 0.0000 0.5544
Ag 0.5000 0.5000 0.0544
Ag 0.5000 0.5000 0.7073
Pb 0.5000 0.0000 0.8830
Pb 0.5000 0.5000 0.3830
```

Calculated values
**DFT total energy**: -38.677 eV per atom
**Relative energy among the computed polymorphs**: 24 meV/atom
**Space group**: Amm2, No. 38
**ΔE_f**: 93 meV/atom
**V**: 18.42 A^3/atom

---

[7]
# Bi2SbP2

A PBEsol-optimized structure of Bi2SbP2 (meta-GGA SCAN, Alexandria). Values from VASP.

Cell and atoms, written as Quantum ESPRESSO input:
```
&SYSTEM
  ibrav = 0, nat = 10, ntyp = 3
/
ATOMIC_SPECIES
Bi 208.98 Bi.upf
Sb 121.76 Sb.upf
P 30.97 P.upf
CELL_PARAMETERS angstrom
7.9165 0.0000 0.0000
0.0000 7.9165 0.0000
0.0000 0.0000 3.7811
ATOMIC_POSITIONS crystal
Bi 0.1550 0.3450 0.0000
Bi 0.3450 0.8450 0.0000
Bi 0.6550 0.1550 0.0000
Bi 0.8450 0.6550 0.0000
Sb 0.0000 0.0000 0.5000
Sb 0.5000 0.5000 0.5000
P 0.1649 0.6649 0.5000
P 0.3351 0.1649 0.5000
P 0.6649 0.8351 0.5000
P 0.8351 0.3351 0.5000
```

Calculated values
**DFT total energy**: -42.602 eV per atom
**Space group**: P4/mbm, No. 127
**Energy relative to the elements, uncorrected**: 213.0 kJ/mol of formula units
**V**: 23.70 A^3/atom

---

[8]
# Re2P2O

A PBEsol-optimized structure of Re2P2O (meta-GGA SCAN, Alexandria). Values from VASP.

Cell and atoms, written as Quantum ESPRESSO input:
```
&SYSTEM
  ibrav = 0, nat = 10, ntyp = 3
/
ATOMIC_SPECIES
Re 186.21 Re.upf
P 30.97 P.upf
O 16.00 O.upf
CELL_PARAMETERS angstrom
3.3985 0.0000 0.0000
0.0000 3.3985 0.0000
0.0000 0.0000 11.6961
ATOMIC_POSITIONS crystal
Re 0.0000 0.0000 0.1160
Re 0.0000 0.0000 0.8840
Re 0.5000 0.5000 0.3840
Re 0.5000 0.5000 0.6160
P 0.0000 0.5000 0.2500
P 0.0000 0.5000 0.7500
P 0.5000 0.0000 0.2500
P 0.5000 0.0000 0.7500
O 0.0000 0.0000 0.5000
O 0.5000 0.5000 0.0000
```

Calculated values
**DFT total energy**: -33.387 eV per atom
**Space group**: I4/mmm, No. 139
**Energy relative to the elements, uncorrected**: 220.6 kJ/mol of formula units
**V**: 13.51 A^3/atom

---

> Among the records above, which one has the lowest V?

Re2P2O